1.
Density functional theory data (GGA-PBE) for CaMn2Cd after structural relaxation.

a b c (Å): 9.936 9.936 9.936
angles (deg): 18.25 18.25 18.25
Positions (direct):
1 Ca 0.250 0.250 0.250
2 Mn 0.006 0.006 0.006
3 Mn 0.494 0.494 0.494
4 Cd 0.750 0.750 0.750

## Properties
Space group: R-3m, No. 166
Electronic total energy in eV per cell: -18.867
V in Å³/atom: 21.00

---

2.
Density functional theory data (GGA-PBE) for CaMn2Cd after structural relaxation.

a b c (Å): 5.723 5.723 5.723
angles (deg): 143.75 129.19 64.00
Positions (direct):
1 Ca 0.250 0.750 0.500
2 Mn 0.978 0.978 0.000
3 Mn 0.522 0.522 0.000
4 Cd 0.750 0.250 0.500

## Properties
Space group: Immm, No. 71
Electronic total energy in eV per cell: -19.479
V in Å³/atom: 21.22

---

3.
Density functional theory data (GGA-PBE) for CaMn2Cd after structural relaxation.

a b c (Å): 4.930 4.930 4.930
angles (deg): 60.00 60.00 60.00
Positions (direct):
1 Ca 0.500 0.500 0.500
2 Mn 0.000 0.000 0.000
3 Mn 0.250 0.250 0.250
4 Cd 0.750 0.750 0.750

## Properties
Space group: F-43m, No. 216
Electronic total energy in eV per cell: -19.620
V in Å³/atom: 21.18